# KBC (GGA-PBE, relaxed)
data_KBC
_cell_length_a 5.9829
_cell_length_b 5.9829
_cell_length_c 2.8647
_cell_angle_alpha 90.00
_cell_angle_beta 90.00
_cell_angle_gamma 90.00
_space_group_name_H-M_alt 'I -4 m 2'
_space_group_IT_number 119
_space_group_name_Hall 'I -4 -2'
loop_
_atom_site_label
_atom_site_fract_x
_atom_site_fract_y
_atom_site_fract_z
K1 0.0000 0.0000 0.0000
B1 0.0000 0.5000 0.2500
C1 0.0000 0.5000 0.7500
# **Final energy**: -5.57 eV per atom
# **M_tot**: 0.0 μB per formula unit